1.
DFT (PBE) results for a relaxed structure of TbSm2Ir.

Structure (POSCAR):
```
TbSm2Ir
1.0
3.926 -0.161 0.000
-1.716 6.101 0.000
0.000 0.000 9.510
Ir Sm Tb
2 4 2
Cartesian
0.125 3.058 7.132
2.084 2.883 2.377
0.068 1.682 4.119
2.141 4.258 8.873
0.068 1.682 0.636
2.141 4.258 5.391
0.207 5.056 2.377
2.002 0.884 7.132
```

Computed properties:
- Crystal system: orthorhombic
- E_tot: -6.202 eV/atom
- ΔE_f: -469 meV per atom
- Energy above the lowest structure with this stoichiometry: 42 meV/atom
- V: 225.16 Å³/cell
- SG: Cmcm, No. 63



2.
DFT (PBE) results for a relaxed structure of Tb4Sm3Ir4.

Structure (POSCAR):
```
Tb4Sm3Ir4
1.0
-2.593 2.286 -1.842
-6.188 -2.539 5.561
6.284 6.207 3.023
Tb Ir Sm
4 4 3
Cartesian
0.081 3.561 4.306
2.438 4.527 2.188
-2.578 2.394 2.436
-4.935 1.427 4.554
-2.158 1.736 5.194
-2.635 0.594 0.282
-0.339 4.218 1.549
-6.146 -0.846 3.437
-2.878 4.731 5.760
0.381 1.224 0.983
-3.094 -1.269 2.781
```

Computed properties:
- Crystal system: orthorhombic
- E_tot: -6.811 eV/atom
- ΔE_f: -618 meV per atom
- V: 273.40 Å³/cell
- SG: Immm, No. 71



3.
DFT (PBE) results for a relaxed structure of Tb2Sm2Ir3.

Structure (POSCAR):
```
Tb2Sm2Ir3
1.0
4.491 -0.006 0.004
-2.241 5.509 -0.196
0.001 -1.007 7.428
Ir Tb Sm
3 2 2
Cartesian
0.004 1.362 5.380
2.247 3.135 1.856
0.000 0.000 0.000
0.003 3.907 0.361
2.248 0.590 6.875
2.252 3.355 4.647
-0.002 1.141 2.588
```

Computed properties:
- Crystal system: triclinic
- E_tot: -7.062 eV/atom
- ΔE_f: -593 meV per atom
- Energy above the lowest structure with this stoichiometry: 147 meV/atom
- V: 182.81 Å³/cell
- SG: P-1, No. 2